Here is a relaxed structure of BaCuC2O6 from Alexandria. Energies are from PBE-GGA.

Calculated values
DFT total energy, eV per atom: -6.994
Theoretical density, g/cm3: 4.1
Fermi-level density of states, states/eV/f.u.: 5.3
M_tot, μB per formula unit: 1.00
Space group: R-3

```
BaCuC2O6
1.0
5.0499 0.0003 0.0000
2.5247 4.3735 0.0000
2.5249 1.4579 5.8218
Ba Cu C O
1 1 2 6
Cartesian
0.0000 0.0000 0.0000
5.0497 2.9158 2.9109
7.5746 4.3738 4.1285
2.5249 1.4579 1.6933
3.4575 3.4682 4.1803
5.3675 1.2607 4.1803
3.7753 1.8131 1.6415
6.6420 2.3635 1.6415
4.7320 4.5709 1.6415
6.3242 4.0186 4.1803
```